# Lu2InFe, optimized geometry, DFT GGA-PBE
data_Lu2InFe
_chemical_formula_sum 'Lu6 In3 Fe3'
_symmetry_space_group_name_H-M 'R -3 m'
_symmetry_Int_Tables_number 166
_symmetry_space_group_name_Hall '-R 3 2"'
_cell_length_a 3.4622
_cell_length_b 3.4622
_cell_length_c 29.7477
_cell_angle_alpha 90.00
_cell_angle_beta 90.00
_cell_angle_gamma 120.00
loop_
_atom_site_label
_atom_site_type_symbol
_atom_site_fract_x
_atom_site_fract_y
_atom_site_fract_z
Lu1 Lu 0.0000 0.0000 0.1080
In1 In 0.0000 0.0000 0.0000
Fe1 Fe 0.0000 0.0000 0.5000
# Offset from the most stable computed form in eV/atom: 0.421
# Volume in Å³ per cell: 308.8
# DFT formation energy in eV per atom: 0.19
# Raw total energy in eV for the cell shown: -58.449